[1]
First-principles (GGA-PBE) data for HgAuSCl2 after structural relaxation, as listed in Alexandria via LeMat-Bulk.

Structure (POSCAR):
```
HgAuSCl2
1.0
4.914 0.000 0.000
0.000 4.914 0.000
0.000 0.000 5.119
S Au Hg Cl
1 1 1 2
direct
0.000 0.000 0.500
0.000 0.000 0.000
0.500 0.500 0.500
0.000 0.500 0.000
0.500 0.000 0.000
```

Properties
Symmetry: P4/mmm
Raw formation energy: 0.1807 eV per atom
Distance to the lowest polymorph of the same formula: 0.000 eV/atom
E: -2.099 eV/atom

***

[2]
First-principles (GGA-PBE) data for Tb4NdTh2 after structural relaxation, as listed in Alexandria via LeMat-Bulk.

Structure (POSCAR):
```
Tb4NdTh2
1.0
5.647 0.000 0.000
0.000 5.647 0.000
-2.824 -2.824 8.280
Tb Nd Th
4 1 2
direct
0.818 0.818 0.637
0.182 0.182 0.363
0.000 0.500 0.000
0.500 0.000 0.000
0.000 0.000 0.000
0.612 0.612 0.223
0.388 0.388 0.777
```

Properties
Symmetry: I4/mmm
Distance to the lowest polymorph of the same formula: 0.619 eV/atom
E: -4.654 eV/atom
Energy of formation: 793 meV per atom

***

[3]
First-principles (GGA-PBE) data for Tc2NiPb after structural relaxation, as listed in Alexandria via LeMat-Bulk.

Structure (POSCAR):
```
Tc2NiPb
1.0
-2.723 -1.051 -1.051
0.605 -2.788 1.219
-2.990 1.905 5.843
Ni Pb Tc
1 1 2
direct
0.000 0.000 0.469
0.500 0.500 0.728
0.000 0.000 0.052
0.500 0.500 0.252
```

Properties
Symmetry: P4mm
E: -7.210 eV/atom
Energy of formation: 345 meV per atom